Entry 1:
## Cs4MgF5 (PBE-GGA)

Data for a relaxed Cs4MgF5 crystal.

ΔE_f (raw) ... -2.63 eV/atom
Energy ... -4.07 eV per atom

Cell lengths 10.7882, 10.7882, 4.4439 Å; angles 90.00, 90.00, 90.00 degrees
Last column: nearest neighbours and their distance in Å.
Space group I4 (No. 79)
Asymmetric unit:
Cs (0.0875, 0.7383, 0.0000) x8  6 F 2.98-3.13
Mg (0.0000, 0.0000, 0.5006) x2  6 F 2.02-2.23
F (0.0000, 0.0000, 0.9990) x2  2 Mg 2.21-2.23
F (0.0868, 0.1656, 0.4997) x8  1 Mg 2.02

=====

Entry 2:
## Ho6C2SI3 (PBE-GGA)

Data for a relaxed Ho6C2SI3 crystal.

ΔE_f (raw) ... -0.96 eV/atom
Energy ... -5.52 eV per atom

Cell lengths 6.6629, 11.5449, 7.6740 Å; angles 90.00, 106.85, 90.00 degrees
Last column: nearest neighbours and their distance in Å.
Space group C2/m (No. 12)
Asymmetric unit:
Ho (0.2014, 0.0000, 0.1700) x4  2 C 2.49, 1 S 2.68
Ho (0.2345, 0.3223, 0.1706) x8  2 C 2.49, 1 S 2.68
C (0.0000, 0.1667, 0.0000) x4  6 Ho 2.49
S (0.0000, 0.5000, 0.0000) x2  6 Ho 2.68
I (0.0000, 0.0000, 0.5000) x2  6 Ho 3.19-3.34
I (0.0000, 0.3357, 0.5000) x4  6 Ho 3.20-3.34

=====

Among the records above, which one has the highest ΔE_f (raw)?
Ho6C2SI3